A plane-wave DFT calculation with PBE-GGA was carried out for a geometry-optimized FeAg2RhSe structure.

Geometry as POSCAR:
```
FeAg2RhSe
1.0
4.856 0.000 0.000
0.000 4.266 0.000
0.000 0.000 4.856
Rh Se Ag Fe
1 1 2 1
Cartesian
2.428 2.133 2.428
0.000 2.133 0.000
0.000 0.000 2.428
2.428 0.000 0.000
0.000 0.000 0.000
```

Results
Crystal system: tetragonal
Electronic total energy: -4.113 eV per atom